[1]
First-principles (PBE) data for Ba6Na2CuIr after structural relaxation, as listed in Alexandria.

Unit cell a=8.9438 b=8.9438 c=8.9438 alpha=60.00 beta=60.00 gamma=60.00
Sites, in units of the cell vectors:
Ba 0.2427 0.2427 0.7573
Ba 0.2427 0.7573 0.2427
Ba 0.2427 0.7573 0.7573
Ba 0.7573 0.2427 0.2427
Ba 0.7573 0.2427 0.7573
Ba 0.7573 0.7573 0.2427
Na 0.2500 0.2500 0.2500
Na 0.7500 0.7500 0.7500
Cu 0.5000 0.5000 0.5000
Ir 0.0000 0.0000 0.0000

Calculated formation energy: -76.0 meV/atom
DOS(E_F): 6.9 states/eV/f.u.
Symmetry: No. 225
Spin magnetization: 0.00 μB/atom

[2]
First-principles (PBE) data for Ac2ZnHgPd6 after structural relaxation, as listed in Alexandria.

Unit cell a=8.9042 b=8.9042 c=8.9042 alpha=38.41 beta=38.41 gamma=38.41
Sites, in units of the cell vectors:
Ac 0.2113 0.2113 0.2113
Ac 0.7887 0.7887 0.7887
Zn 0.5000 0.5000 0.5000
Hg 0.0000 0.0000 0.0000
Pd 0.2350 0.7454 0.7454
Pd 0.2546 0.2546 0.7650
Pd 0.2546 0.7650 0.2546
Pd 0.7454 0.2350 0.7454
Pd 0.7454 0.7454 0.2350
Pd 0.7650 0.2546 0.2546

Calculated formation energy: -531.4 meV/atom
DOS(E_F): 3.8 states/eV/f.u.
Symmetry: No. 166
Spin magnetization: 0.00 μB/atom

[3]
First-principles (PBE) data for Cs4Dy3NpS8 after structural relaxation, as listed in Alexandria.

Unit cell a=9.3605 b=9.3605 c=9.3605 alpha=52.34 beta=52.34 gamma=52.34
Sites, in units of the cell vectors:
Cs 0.0000 0.0000 0.0000
Cs 0.0000 0.5000 0.5000
Cs 0.5000 0.0000 0.5000
Cs 0.5000 0.5000 0.0000
Dy 0.0000 0.0000 0.5000
Dy 0.0000 0.5000 0.0000
Dy 0.5000 0.0000 0.0000
Np 0.5000 0.5000 0.5000
S 0.2239 0.7287 0.7287
S 0.2272 0.2272 0.2272
S 0.2713 0.2713 0.7761
S 0.2713 0.7761 0.2713
S 0.7287 0.2239 0.7287
S 0.7287 0.7287 0.2239
S 0.7728 0.7728 0.7728
S 0.7761 0.2713 0.2713

DOS(E_F): 5.4 states/eV/f.u.
Symmetry: No. 166
Spin magnetization: 0.25 μB/atom
VASP energy: -5.650 eV per atom

Among the records above, which one has the highest DOS(E_F)?
Ba6Na2CuIr

spin magnetization of number 1 (Ba6Na2CuIr)?
0.00 μB/atom